Below is crystalline ErMnBe at its relaxed geometry, with properties calculated at the PBE level.

a = 4.126 Å, b = 6.914 Å, c = 6.998 Å
α = 90.00°, β = 90.00°, γ = 90.00°
Each line ends with the local moment (μB).
Positions (direct):
Er 0.250 0.010 0.814  -0.24
Mn 0.250 0.652 0.073  2.94
Mn 0.750 0.348 0.927  2.94
Mn 0.750 0.848 0.573  2.94
Be 0.250 0.309 0.094  -0.11
Er 0.750 0.990 0.186  -0.24
Be 0.750 0.191 0.594  -0.11
Er 0.750 0.490 0.314  -0.24
Mn 0.250 0.152 0.427  2.94
Be 0.750 0.691 0.906  -0.11
Be 0.250 0.809 0.406  -0.11
Er 0.250 0.510 0.686  -0.24

E, eV for the cell shown: -69.46
SG: No. 62
V, Å³ per atom: 16.64
Energy relative to the elements, eV/f.u.: 0.09

---

Below is crystalline Sm8In2Co at its relaxed geometry, with properties calculated at the PBE level.

a = 5.640 Å, b = 6.975 Å, c = 9.192 Å
α = 111.62°, β = 107.87°, γ = 90.00°
Positions (direct):
Sm 0.370 0.113 0.740
Sm 0.003 0.762 0.006
Co 0.500 0.000 0.000
Sm 0.199 0.223 0.398
Sm 0.389 0.610 0.779
Sm 0.997 0.238 0.994
Sm 0.630 0.887 0.260
Sm 0.801 0.777 0.602
In 0.816 0.311 0.633
In 0.184 0.689 0.367
Sm 0.611 0.390 0.221

E, eV for the cell shown: -52.40
SG: No. 12
V, Å³ per atom: 28.85
Energy relative to the elements, eV/f.u.: -2.07

---

Below is crystalline Nd2MgAl3 at its relaxed geometry, with properties calculated at the PBE level.

a = 5.842 Å, b = 5.842 Å, c = 9.226 Å
α = 90.00°, β = 90.00°, γ = 120.00°
Positions (direct):
Mg 0.000 0.000 0.000
Al 0.350 0.175 0.750
Al 0.650 0.825 0.250
Nd 0.667 0.333 0.074
Al 0.175 0.350 0.250
Nd 0.333 0.667 0.926
Al 0.175 0.825 0.250
Mg 0.000 0.000 0.500
Al 0.825 0.650 0.750
Al 0.825 0.175 0.750
Nd 0.333 0.667 0.574
Nd 0.667 0.333 0.426

E, eV for the cell shown: -49.52
SG: No. 194
V, Å³ per atom: 22.73
Energy above the most stable polymorph in this dataset, meV per atom: 0
Energy relative to the elements, eV/f.u.: -2.40

---

Below is crystalline La2Tb8Pr3 at its relaxed geometry, with properties calculated at the PBE level.

a = 5.676 Å, b = 6.970 Å, c = 12.172 Å
α = 73.36°, β = 103.43°, γ = 90.00°
Positions (direct):
Tb 0.649 0.593 0.297
Tb 0.179 0.821 0.358
Pr 0.500 0.728 0.000
Tb 0.075 0.425 0.150
Tb 0.925 0.575 0.850
La 0.776 0.724 0.552
Tb 0.351 0.407 0.703
Tb 0.351 0.890 0.703
Pr 0.500 0.272 0.000
Tb 0.821 0.179 0.642
Tb 0.649 0.110 0.297
Pr 0.000 0.000 0.000
La 0.224 0.276 0.448

E, eV for the cell shown: -59.20
SG: No. 12
V, Å³ per atom: 34.44
Energy above the most stable polymorph in this dataset, meV per atom: 0
Energy relative to the elements, eV/f.u.: 2.03

---

Below is crystalline Ta2AgHg at its relaxed geometry, with properties calculated at the PBE level.

a = 10.251 Å, b = 10.251 Å, c = 10.251 Å
α = 16.41°, β = 16.41°, γ = 16.41°
Positions (direct):
Ta 0.502 0.502 0.502
Hg 0.750 0.750 0.750
Ag 0.250 0.250 0.250
Ta 0.998 0.998 0.998

E, eV for the cell shown: -25.28
SG: No. 166
V, Å³ per atom: 18.74
Energy relative to the elements, eV/f.u.: 1.58

---

Below is crystalline YHfGa2As at its relaxed geometry, with properties calculated at the PBE level.

a = 5.124 Å, b = 5.492 Å, c = 5.124 Å
α = 90.00°, β = 90.00°, γ = 90.00°
Positions (direct):
Hf 0.000 0.000 0.000
As 0.500 0.500 0.500
Ga 0.500 0.000 0.000
Y 0.000 0.500 0.000
Ga 0.000 0.000 0.500

E, eV for the cell shown: -23.63
SG: No. 123
V, Å³ per atom: 28.84
Energy relative to the elements, eV/f.u.: 3.49

---

Below is crystalline SbP8 at its relaxed geometry, with properties calculated at the PBE level.

a = 6.283 Å, b = 6.283 Å, c = 6.283 Å
α = 97.58°, β = 97.58°, γ = 137.42°
Positions (direct):
P 0.718 0.282 0.000
P 0.000 0.345 0.345
P 0.282 0.282 0.563
Sb 0.000 0.000 0.000
P 0.345 0.000 0.345
P 0.282 0.718 0.000
P 0.000 0.655 0.655
P 0.718 0.718 0.437
P 0.655 0.000 0.655

E, eV for the cell shown: -41.15
SG: No. 139
V, Å³ per atom: 17.37
Energy relative to the elements, uncorrected, eV per atom: 0.69

---

Below is crystalline Pu2MnAl3Au12 at its relaxed geometry, with properties calculated at the PBE level.

a = 8.072 Å, b = 8.072 Å, c = 8.072 Å
α = 64.98°, β = 64.98°, γ = 64.98°
Each line ends with the local moment (μB).
Positions (direct):
Au 0.642 0.642 0.112  0.01
Pu 0.607 0.607 0.607  5.43
Au 0.112 0.642 0.642  0.01
Al 0.500 0.000 0.000  0.00
Au 0.642 0.112 0.642  0.01
Au 0.623 0.136 0.136  0.03
Al 0.000 0.500 0.000  0.00
Au 0.136 0.623 0.136  0.03
Au 0.377 0.864 0.864  0.03
Mn 0.000 0.000 0.000  4.08
Al 0.000 0.000 0.500  0.00
Au 0.888 0.358 0.358  0.01
Pu 0.393 0.393 0.393  5.43
Au 0.358 0.888 0.358  0.01
Au 0.358 0.358 0.888  0.01
Au 0.136 0.136 0.623  0.03
Au 0.864 0.864 0.377  0.03
Au 0.864 0.377 0.864  0.03

E, eV for the cell shown: -88.71
SG: No. 166
V, Å³ per atom: 22.91
Energy relative to the elements, eV/f.u.: -0.32

---

Below is crystalline V2SbOsW at its relaxed geometry, with properties calculated at the PBE level.

a = 4.607 Å, b = 4.826 Å, c = 4.607 Å
α = 90.00°, β = 90.00°, γ = 90.00°
Positions (direct):
W 0.000 0.500 0.000
Sb 0.500 0.500 0.500
V 0.500 0.000 0.000
V 0.000 0.000 0.500
Os 0.000 0.000 0.000

E, eV for the cell shown: -40.58
SG: No. 123
V, Å³ per atom: 20.48
Energy relative to the elements, uncorrected, eV per atom: 1.19
Energy above the most stable polymorph in this dataset, meV per atom: 0

---

Below is crystalline Ac8Tl3InI4 at its relaxed geometry, with properties calculated at the PBE level.

a = 9.850 Å, b = 9.567 Å, c = 9.845 Å
α = 120.96°, β = 120.02°, γ = 90.00°
Positions (direct):
Tl 0.000 0.500 0.500
I 0.000 0.000 0.500
Tl 0.500 0.500 0.500
In 0.000 0.500 0.000
Ac 0.259 0.277 0.518
Ac 0.759 0.276 0.517
Ac 0.741 0.724 0.983
I 0.500 0.000 0.000
I 0.500 0.000 0.500
Ac 0.741 0.723 0.482
I 0.000 0.000 0.000
Ac 0.241 0.724 0.983
Ac 0.759 0.276 0.017
Ac 0.241 0.724 0.483
Tl 0.500 0.500 0.000
Ac 0.259 0.276 0.017

E, eV for the cell shown: -59.30
SG: No. 166
V, Å³ per atom: 40.39
Energy relative to the elements, uncorrected, eV per atom: -0.65

---

Below is crystalline Ce2SmPt3 at its relaxed geometry, with properties calculated at the PBE level.

a = 7.172 Å, b = 7.172 Å, c = 13.075 Å
α = 100.55°, β = 100.55°, γ = 109.43°
Each line ends with the local moment (μB).
Positions (direct):
Pt 0.744 0.744 0.000  -0.02
Ce 0.751 0.751 0.501  0.45
Pt 0.582 0.577 0.665  -0.02
Pt 0.167 0.662 0.835  -0.02
Pt 0.506 0.006 0.500  -0.02
Ce 0.834 0.334 0.667  0.38
Pt 0.083 0.088 0.665  -0.02
Pt 0.994 0.494 0.500  -0.02
Ce 0.001 0.501 0.001  0.45
Ce 0.666 0.166 0.333  0.38
Pt 0.668 0.173 0.835  -0.02
Sm 0.917 0.917 0.833  0.00
Ce 0.249 0.249 0.499  0.45
Sm 0.167 0.667 0.333  0.00
Pt 0.423 0.418 0.335  -0.02
Pt 0.912 0.917 0.335  -0.02
Pt 0.256 0.256 0.000  -0.02
Ce 0.416 0.416 0.833  0.38
Ce 0.499 0.999 0.999  0.45
Ce 0.584 0.584 0.167  0.38
Sm 0.333 0.833 0.667  0.00
Sm 0.083 0.083 0.167  0.00
Pt 0.338 0.833 0.165  -0.02
Pt 0.827 0.332 0.165  -0.02

E, eV for the cell shown: -164.55
SG: No. 70
V, Å³ per atom: 25.06
Energy above the most stable polymorph in this dataset, meV per atom: 0
Energy relative to the elements, eV/f.u.: -6.43

---

Below is crystalline TbPmDy2Y at its relaxed geometry, with properties calculated at the PBE level.

a = 7.186 Å, b = 8.363 Å, c = 7.112 Å
α = 126.01°, β = 90.00°, γ = 90.00°
Positions (direct):
Tb 0.750 0.283 0.567
Dy 0.000 0.312 0.000
Tb 0.250 0.717 0.433
Pm 0.750 0.016 0.032
Dy 0.000 0.688 0.000
Dy 0.500 0.312 0.000
Pm 0.250 0.984 0.968
Dy 0.500 0.688 0.000
Y 0.750 0.731 0.463
Y 0.250 0.269 0.537

E, eV for the cell shown: -46.05
SG: No. 63
V, Å³ per atom: 34.57
Energy relative to the elements, eV/f.u.: 2.02

---

Below is crystalline Be2BrO at its relaxed geometry, with properties calculated at the PBE level.

a = 3.994 Å, b = 3.994 Å, c = 3.994 Å
α = 60.00°, β = 60.00°, γ = 60.00°
Positions (direct):
O 0.000 0.000 0.000
Be 0.250 0.250 0.250
Be 0.750 0.750 0.750
Br 0.500 0.500 0.500

E, eV for the cell shown: -12.22
SG: No. 225
V, Å³ per atom: 11.26
Energy relative to the elements, uncorrected, eV per atom: 0.47
Energy above the most stable polymorph in this dataset, meV per atom: 1307

---

Below is crystalline Cd2AgP at its relaxed geometry, with properties calculated at the PBE level.

a = 3.040 Å, b = 3.040 Å, c = 8.451 Å
α = 90.00°, β = 90.00°, γ = 89.98°
Positions (direct):
Ag 0.500 0.500 0.750
P 0.500 0.500 0.250
Cd 0.000 0.000 0.499
Cd 0.000 0.000 0.001

E, eV for the cell shown: -9.26
SG: No. 123
V, Å³ per atom: 19.52
Energy relative to the elements, eV/f.u.: 0.83

---

Below is crystalline CrNi at its relaxed geometry, with properties calculated at the PBE level.

a = 2.408 Å, b = 4.085 Å, c = 4.558 Å
α = 90.00°, β = 90.00°, γ = 90.00°
Positions (direct):
Ni 0.500 0.000 0.509
Cr 0.500 0.500 0.808
Ni 0.000 0.500 0.325
Cr 0.000 0.000 0.025

E, eV for the cell shown: -30.40
SG: No. 59
V, Å³ per atom: 11.21
Energy relative to the elements, eV/f.u.: 0.20

---

Below is crystalline TeOs2Se at its relaxed geometry, with properties calculated at the PBE level.

a = 4.423 Å, b = 4.423 Å, c = 5.518 Å
α = 78.38°, β = 78.38°, γ = 41.27°
Positions (direct):
Te 0.250 0.250 0.250
Se 0.750 0.750 0.750
Os 0.498 0.498 0.538
Os 0.002 0.002 0.962

E, eV for the cell shown: -26.11
SG: No. 12
V, Å³ per atom: 17.38
Energy relative to the elements, uncorrected, eV per atom: 0.74
Energy above the most stable polymorph in this dataset, meV per atom: 374

---

Below is crystalline La2NbCuBr at its relaxed geometry, with properties calculated at the PBE level.

a = 5.669 Å, b = 4.746 Å, c = 5.669 Å
α = 90.00°, β = 90.00°, γ = 90.00°
Each line ends with the local moment (μB).
Positions (direct):
Cu 0.500 0.500 0.500  0.01
La 0.000 0.000 0.500  -0.03
Br 0.000 0.000 0.000  -0.01
Nb 0.000 0.500 0.000  0.75
La 0.500 0.000 0.000  0.00

E, eV for the cell shown: -23.73
SG: No. 123
V, Å³ per atom: 30.51
Energy relative to the elements, uncorrected, eV per atom: 0.39

---

Below is crystalline TeIrI at its relaxed geometry, with properties calculated at the PBE level.

a = 5.869 Å, b = 7.071 Å, c = 7.651 Å
α = 90.65°, β = 90.00°, γ = 90.00°
Positions (direct):
Ir 0.980 0.728 0.852
I 0.269 0.911 0.619
Ir 0.020 0.272 0.148
Te 0.233 0.443 0.409
Te 0.767 0.557 0.591
I 0.231 0.911 0.119
Ir 0.520 0.728 0.352
I 0.769 0.089 0.881
Ir 0.480 0.272 0.648
I 0.731 0.089 0.381
Te 0.733 0.557 0.091
Te 0.267 0.443 0.909

E, eV for the cell shown: -54.16
SG: No. 14
V, Å³ per atom: 26.46
Energy relative to the elements, uncorrected, eV per atom: 0.00

---

Below is crystalline Be2AlBiPb at its relaxed geometry, with properties calculated at the PBE level.

a = 4.605 Å, b = 5.763 Å, c = 4.605 Å
α = 90.00°, β = 90.00°, γ = 90.00°
Positions (direct):
Al 0.000 0.500 0.000
Bi 0.500 0.500 0.500
Pb 0.000 0.000 0.000
Be 0.500 0.000 0.000
Be 0.000 0.000 0.500

E, eV for the cell shown: -13.60
SG: No. 123
V, Å³ per atom: 24.44
Energy relative to the elements, eV/f.u.: 5.18

---

Below is crystalline PmPr2Mg6 at its relaxed geometry, with properties calculated at the PBE level.

a = 3.389 Å, b = 9.198 Å, c = 9.198 Å
α = 59.99°, β = 90.00°, γ = 90.00°
Positions (direct):
Mg 0.499 0.000 0.668
Mg 0.499 0.668 0.000
Pr 0.000 0.667 0.667
Pm 0.000 0.000 0.000
Mg 0.500 0.332 0.668
Mg 0.501 0.332 0.000
Pr 0.000 0.333 0.333
Mg 0.501 0.000 0.332
Mg 0.500 0.668 0.332

E, eV for the cell shown: -24.75
SG: No. 191
V, Å³ per atom: 27.59
Energy relative to the elements, eV/f.u.: -0.87